Below is a relaxed PmDy2PuSe4 crystal, with properties calculated at the PBE level.

Results
Crystal system   monoclinic
D(E_F)   9.275 states/eV per cell
E   -56.1 eV per formula unit
Uncorrected formation energy   -1738 meV per atom

Unit cell a=7.1422 b=4.0993 c=7.1604 alpha=90.00 beta=109.11 gamma=90.00
With the nearest neighbours (Å) after each atom.
Fractional positions:
Pm (0.0000, 0.0000, 0.0000)  6 Se 2.95-2.96
Dy (0.0000, 0.5000, 0.5000)  6 Se 2.89
Dy (0.5000, 0.0000, 0.5000)  6 Se 2.87
Pu (0.5000, 0.5000, 0.0000)  6 Se 2.94
Se (0.2497, 0.0000, 0.7429)  3 Dy 2.87-2.89, 2 Pu 2.94, 1 Pm 2.95
Se (0.2551, 0.5000, 0.2589)  3 Dy 2.87-2.89, 1 Pu 2.94, 2 Pm 2.96
Se (0.7449, 0.5000, 0.7411)  3 Dy 2.87-2.89, 1 Pu 2.94, 2 Pm 2.96
Se (0.7503, 0.0000, 0.2571)  3 Dy 2.87-2.89, 2 Pu 2.94, 1 Pm 2.95

---

Below is a relaxed PmDyPu2Se4 crystal, with properties calculated at the PBE level.

Results
Crystal system   monoclinic
D(E_F)   26.037 states/eV per cell
E   -64.2 eV per formula unit
Uncorrected formation energy   -1528 meV per atom

Unit cell a=7.1385 b=4.0656 c=7.1771 alpha=90.00 beta=90.09 gamma=90.00
With the nearest neighbours (Å) after each atom.
Fractional positions:
Pm (0.0000, 0.0000, 0.0000)  6 Se 2.98
Dy (0.5000, 0.5000, 0.0000)  6 Se 2.93
Pu (0.0000, 0.0000, 0.5000)  6 Se 2.98-3.03
Pu (0.5000, 0.5000, 0.5000)  6 Se 2.95-2.97
Se (0.1735, 0.5000, 0.7511)  1 Dy 2.93, 3 Pu 2.95-2.98, 2 Pm 2.98
Se (0.3372, 0.0000, 0.2446)  2 Dy 2.93, 3 Pu 2.97-3.03, 1 Pm 2.98
Se (0.6628, 0.0000, 0.7554)  2 Dy 2.93, 3 Pu 2.97-3.03, 1 Pm 2.98
Se (0.8265, 0.5000, 0.2489)  1 Dy 2.93, 3 Pu 2.95-2.98, 2 Pm 2.98

---

Below is a relaxed Pm2DyPu3Se6 crystal, with properties calculated at the PBE level.

Results
Crystal system   monoclinic
D(E_F)   28.539 states/eV per cell
E   -98.2 eV per formula unit
Uncorrected formation energy   -1687 meV per atom

Unit cell a=9.2718 b=9.2718 c=8.3026 alpha=102.53 beta=102.53 gamma=25.82
With the nearest neighbours (Å) after each atom.
Fractional positions:
Pm (0.1663, 0.1663, 0.3359)  6 Se 2.94-2.97
Pm (0.8337, 0.8337, 0.6641)  6 Se 2.94-2.97
Dy (0.5000, 0.5000, 0.0000)  6 Se 2.91
Pu (0.1681, 0.1681, 0.8348)  6 Se 2.91-2.94
Pu (0.5000, 0.5000, 0.5000)  6 Se 2.93-2.96
Pu (0.8319, 0.8319, 0.1652)  6 Se 2.91-2.94
Se (0.0014, 0.0014, 0.7548)  2 Dy 2.91, 3 Pu 2.94-2.96, 1 Pm 2.96
Se (0.3340, 0.3340, 0.4122)  3 Pu 2.91-2.93, 3 Pm 2.94-2.95
Se (0.3350, 0.3350, 0.9204)  1 Dy 2.91, 3 Pu 2.91-2.94, 2 Pm 2.97
Se (0.6650, 0.6650, 0.0796)  1 Dy 2.91, 3 Pu 2.91-2.94, 2 Pm 2.97
Se (0.6660, 0.6660, 0.5878)  3 Pu 2.91-2.93, 3 Pm 2.94-2.95
Se (0.9986, 0.9986, 0.2452)  2 Dy 2.91, 3 Pu 2.94-2.96, 1 Pm 2.96

---

Below is a relaxed Pm3DyPu2Se6 crystal, with properties calculated at the PBE level.

Results
Crystal system   monoclinic
D(E_F)   19.239 states/eV per cell
E   -89.3 eV per formula unit
Uncorrected formation energy   -1739 meV per atom

Unit cell a=7.1807 b=7.1807 c=7.2368 alpha=99.51 beta=99.51 gamma=120.02
With the nearest neighbours (Å) after each atom.
Fractional positions:
Pm (0.0000, 0.0000, 0.0000)  6 Se 2.96-2.98
Pm (0.3321, 0.6679, 0.0000)  6 Se 2.96-2.97
Pm (0.6679, 0.3321, 0.0000)  6 Se 2.96-2.97
Dy (0.5000, 0.5000, 0.5000)  6 Se 2.90
Pu (0.1663, 0.8337, 0.5000)  6 Se 2.92
Pu (0.8337, 0.1663, 0.5000)  6 Se 2.92
Se (0.0883, 0.4193, 0.2576)  1 Dy 2.90, 2 Pu 2.92, 3 Pm 2.96-2.97
Se (0.2508, 0.2508, 0.7447)  1 Dy 2.90, 2 Pu 2.92, 3 Pm 2.96-2.98
Se (0.4193, 0.0883, 0.2576)  1 Dy 2.90, 2 Pu 2.92, 3 Pm 2.96-2.97
Se (0.5807, 0.9117, 0.7424)  1 Dy 2.90, 2 Pu 2.92, 3 Pm 2.96-2.97
Se (0.7492, 0.7492, 0.2553)  1 Dy 2.90, 2 Pu 2.92, 3 Pm 2.96-2.98
Se (0.9117, 0.5807, 0.7424)  1 Dy 2.90, 2 Pu 2.92, 3 Pm 2.96-2.97

---

Below is a relaxed Pm6Sm3Dy2Pu crystal, with properties calculated at the PBE level.

Results
Crystal system   monoclinic
Energy of formation   0.0483 eV/atom
D(E_F)   24.104 states/eV per cell
E   -65.6 eV per formula unit

Unit cell a=6.2627 b=6.2627 c=11.9067 alpha=95.05 beta=95.05 gamma=120.05
With the nearest neighbours (Å) after each atom.
Fractional positions:
Pm (0.0819, 0.4114, 0.2458)  1 Pu 3.54, 2 Dy 3.56-3.57, 6 Pm 3.57-3.64, 3 Sm 3.63-3.65
Pm (0.2476, 0.2476, 0.7543)  1 Pu 3.54, 2 Dy 3.56, 6 Pm 3.57-3.64, 3 Sm 3.63-3.65
Pm (0.4114, 0.0819, 0.2458)  1 Pu 3.54, 2 Dy 3.56-3.57, 6 Pm 3.57-3.64, 3 Sm 3.63-3.65
Pm (0.5886, 0.9181, 0.7542)  1 Pu 3.54, 2 Dy 3.56-3.57, 6 Pm 3.57-3.64, 3 Sm 3.63-3.65
Pm (0.7524, 0.7524, 0.2457)  1 Pu 3.54, 2 Dy 3.56, 6 Pm 3.57-3.64, 3 Sm 3.63-3.65
Pm (0.9181, 0.5886, 0.7542)  1 Pu 3.54, 2 Dy 3.56-3.57, 6 Pm 3.57-3.64, 3 Sm 3.63-3.65
Sm (0.1666, 0.8334, 0.5000)  6 Sm 3.61-3.62, 6 Pm 3.63-3.65
Sm (0.5000, 0.5000, 0.5000)  6 Sm 3.61-3.62, 6 Pm 3.63-3.65
Sm (0.8334, 0.1666, 0.5000)  6 Sm 3.61-3.62, 6 Pm 3.63-3.65
Dy (0.3335, 0.6665, 0.0000)  6 Pm 3.56-3.57, 3 Dy 3.61-3.62, 3 Pu 3.61-3.62
Dy (0.6665, 0.3335, 0.0000)  6 Pm 3.56-3.57, 3 Dy 3.61-3.62, 3 Pu 3.61-3.62
Pu (0.0000, 0.0000, 0.0000)  6 Pm 3.54, 6 Dy 3.61-3.62

---

Below is a relaxed PmSmDyPu crystal, with properties calculated at the PBE level.

Results
Crystal system   cubic
Energy of formation   0.2136 eV/atom
D(E_F)   49.958 states/eV per cell
E   -27.5 eV per formula unit

Unit cell a=8.0020 b=8.0020 c=8.0020 alpha=90.00 beta=90.00 gamma=90.00
With the nearest neighbours (Å) after each atom.
Fractional positions:
Pm (0.0000, 0.0000, 0.0000)  4 Dy 3.46, 4 Pu 3.46
Pm (0.0000, 0.5000, 0.5000)  4 Dy 3.46, 4 Pu 3.46
Pm (0.5000, 0.0000, 0.5000)  4 Dy 3.46, 4 Pu 3.46
Pm (0.5000, 0.5000, 0.0000)  4 Dy 3.46, 4 Pu 3.46
Sm (0.0000, 0.0000, 0.5000)  4 Dy 3.46, 4 Pu 3.46
Sm (0.0000, 0.5000, 0.0000)  4 Dy 3.46, 4 Pu 3.46
Sm (0.5000, 0.0000, 0.0000)  4 Dy 3.46, 4 Pu 3.46
Sm (0.5000, 0.5000, 0.5000)  4 Dy 3.46, 4 Pu 3.46
Dy (0.2500, 0.2500, 0.7500)  4 Pm 3.46, 4 Sm 3.46
Dy (0.2500, 0.7500, 0.2500)  4 Pm 3.46, 4 Sm 3.46
Dy (0.7500, 0.2500, 0.2500)  4 Pm 3.46, 4 Sm 3.46
Dy (0.7500, 0.7500, 0.7500)  4 Pm 3.46, 4 Sm 3.46
Pu (0.2500, 0.2500, 0.2500)  4 Pm 3.46, 4 Sm 3.46
Pu (0.2500, 0.7500, 0.7500)  4 Pm 3.46, 4 Sm 3.46
Pu (0.7500, 0.2500, 0.7500)  4 Pm 3.46, 4 Sm 3.46
Pu (0.7500, 0.7500, 0.2500)  4 Pm 3.46, 4 Sm 3.46

---

Below is a relaxed PmDyPuSn crystal, with properties calculated at the PBE level.

Results
Crystal system   cubic
Energy of formation   -0.1243 eV/atom
D(E_F)   45.292 states/eV per cell
E   -28.2 eV per formula unit

Unit cell a=7.7110 b=7.7110 c=7.7110 alpha=90.00 beta=90.00 gamma=90.00
With the nearest neighbours (Å) after each atom.
Fractional positions:
Pm (0.0000, 0.0000, 0.0000)  4 Sn 3.34, 4 Dy 3.34
Pm (0.0000, 0.5000, 0.5000)  4 Sn 3.34, 4 Dy 3.34
Pm (0.5000, 0.0000, 0.5000)  4 Sn 3.34, 4 Dy 3.34
Pm (0.5000, 0.5000, 0.0000)  4 Sn 3.34, 4 Dy 3.34
Dy (0.2500, 0.2500, 0.2500)  4 Pm 3.34, 4 Pu 3.34
Dy (0.2500, 0.7500, 0.7500)  4 Pm 3.34, 4 Pu 3.34
Dy (0.7500, 0.2500, 0.7500)  4 Pm 3.34, 4 Pu 3.34
Dy (0.7500, 0.7500, 0.2500)  4 Pm 3.34, 4 Pu 3.34
Pu (0.0000, 0.0000, 0.5000)  4 Dy 3.34, 4 Sn 3.34
Pu (0.0000, 0.5000, 0.0000)  4 Dy 3.34, 4 Sn 3.34
Pu (0.5000, 0.0000, 0.0000)  4 Dy 3.34, 4 Sn 3.34
Pu (0.5000, 0.5000, 0.5000)  4 Dy 3.34, 4 Sn 3.34
Sn (0.2500, 0.2500, 0.7500)  4 Pu 3.34, 4 Pm 3.34
Sn (0.2500, 0.7500, 0.2500)  4 Pu 3.34, 4 Pm 3.34
Sn (0.7500, 0.2500, 0.2500)  4 Pu 3.34, 4 Pm 3.34
Sn (0.7500, 0.7500, 0.7500)  4 Pu 3.34, 4 Pm 3.34

---

Below is a relaxed Tb6Pm3Dy2Pu crystal, with properties calculated at the PBE level.

Results
Crystal system   monoclinic
Energy of formation   0.0436 eV/atom
D(E_F)   23.788 states/eV per cell
E   -65.0 eV per formula unit

Unit cell a=6.1831 b=6.1831 c=11.7811 alpha=95.04 beta=95.04 gamma=120.03
With the nearest neighbours (Å) after each atom.
Fractional positions:
Tb (0.0817, 0.4109, 0.2453)  1 Pu 3.50, 2 Dy 3.52, 6 Tb 3.52-3.59, 3 Pm 3.59-3.61
Tb (0.2476, 0.2476, 0.7546)  1 Pu 3.50, 2 Dy 3.52, 6 Tb 3.52-3.59, 3 Pm 3.59-3.62
Tb (0.4109, 0.0817, 0.2453)  1 Pu 3.50, 2 Dy 3.52, 6 Tb 3.52-3.59, 3 Pm 3.59-3.61
Tb (0.5891, 0.9183, 0.7547)  1 Pu 3.50, 2 Dy 3.52, 6 Tb 3.52-3.59, 3 Pm 3.59-3.61
Tb (0.7524, 0.7524, 0.2454)  1 Pu 3.50, 2 Dy 3.52, 6 Tb 3.52-3.59, 3 Pm 3.59-3.62
Tb (0.9183, 0.5891, 0.7547)  1 Pu 3.50, 2 Dy 3.52, 6 Tb 3.52-3.59, 3 Pm 3.59-3.61
Pm (0.1670, 0.8330, 0.5000)  6 Pm 3.57-3.58, 6 Tb 3.59-3.61
Pm (0.5000, 0.5000, 0.5000)  6 Pm 3.57, 6 Tb 3.59-3.62
Pm (0.8330, 0.1670, 0.5000)  6 Pm 3.57-3.58, 6 Tb 3.59-3.61
Dy (0.3335, 0.6665, 0.0000)  6 Tb 3.52, 3 Dy 3.57, 3 Pu 3.57
Dy (0.6665, 0.3335, 0.0000)  6 Tb 3.52, 3 Dy 3.57, 3 Pu 3.57
Pu (0.0000, 0.0000, 0.0000)  6 Tb 3.50, 6 Dy 3.57